TbZrTeC: relaxed, PBE.

Lattice parameters (Å, degrees): 3.6622 3.6622 13.9263 90.00 90.00 120.00
Space group P-6m2 (No. 187)
Unique sites:
Tb (0.0000, 0.0000, 0.1644)
Zr (0.6667, 0.3333, 0.3467)
Te (0.0000, 0.0000, 0.5000)
Te (0.6667, 0.3333, 0.0000)
C (0.3333, 0.6667, 0.2675)

Properties
M_tot, μB per atom: 0.000
VASP energy, eV per atom: -7.23
Volume, Å³/f.u.: 81
ΔE to the lowest computed polymorph, kJ/mol of atoms: 1.24

=====

TbTh2C2: relaxed, PBE.

Lattice parameters (Å, degrees): 3.6459 3.6459 27.4202 90.00 90.00 120.00
Space group R-3m (No. 166, hexagonal axes)
Unique sites:
Tb (0.0000, 0.0000, 0.0000)
Th (0.0000, 0.0000, 0.2278)
C (0.0000, 0.0000, 0.3913)

Properties
M_tot, μB per atom: 0.080
VASP energy, eV per atom: -7.86
Volume, Å³/f.u.: 105

=====

Tb3TlC: relaxed, PBE.

Lattice parameters (Å, degrees): 4.9485 4.9485 4.9485 90.00 90.00 90.00
Space group Pm-3m (No. 221)
Unique sites:
Tb (0.0000, 0.0000, 0.5000)
Tl (0.5000, 0.5000, 0.5000)
C (0.0000, 0.0000, 0.0000)

Properties
M_tot, μB per atom: 0.000
VASP energy, eV per atom: -5.53
Volume, Å³/f.u.: 121

=====

TbYW2C3: relaxed, PBE.

Lattice parameters (Å, degrees): 11.8796 3.3268 5.7392 90.00 112.89 90.00
Space group Cm (No. 8)
Unique sites:
Tb (0.0000, 0.0000, 0.0000)
Y (0.2198, 0.0000, 0.6385)
W (0.2658, 0.5000, 0.1443)
W (0.4540, 0.0000, 0.4937)
C (0.1099, 0.5000, 0.8188)
C (0.3600, 0.0000, 0.0856)
C (0.3597, 0.5000, 0.5526)

Properties
M_tot, μB per atom: 0.001
VASP energy, eV per atom: -9.57
Volume, Å³/f.u.: 104